{"formula": "SbTe2WO", "functional": "PBE with a Hubbard U", "state": "optimized geometry", "lattice_angstrom": [[4.8621, 0.0000, 0.0000], [0.0000, 4.8621, 0.0000], [0.0000, 0.0000, 4.7080]], "species": ["Sb", "Te", "Te", "W", "O"], "frac_coords": [[0.0000, 0.0000, 0.0000], [0.0000, 0.5000, 0.5000], [0.5000, 0.0000, 0.5000], [0.5000, 0.5000, 0.0000], [0.0000, 0.0000, 0.5000]], "energy_ev_per_cell": -19.938, "polymorph_energy_kj_per_mol_atoms": 0.0, "mass_density_kg_m3": 8606, "total_magnetization_mub_per_fu": 2.9}